#P
Here is a relaxed CeSi2Ir3 crystal from Alexandria. Energies are from PBEsol.

a b c (Å): 3.698 5.509 5.509
angles (deg): 120.00 90.00 90.00
Each line ends with the local moment (μB).
Positions (direct):
Ir1 0.500 0.500 0.000  -0.03
Ir2 0.500 0.000 0.500  -0.03
Si1 0.000 0.333 0.667  0.00
Ir3 0.500 0.500 0.500  -0.03
Si2 0.000 0.667 0.333  0.00
Ce1 0.000 0.000 0.000  0.40

## Properties
- Space group: P6/mmm (191)

---

#Q
Here is a relaxed CeSi2Ir3 crystal from Alexandria. Energies are from PBEsol.

a b c (Å): 5.558 6.622 6.622
angles (deg): 65.75 65.18 65.18
Each line ends with the local moment (μB).
Positions (direct):
Ce1 0.967 0.750 0.750  0.50
Si1 0.616 0.580 0.580  0.00
Ce2 0.033 0.250 0.250  0.50
Ir1 0.000 0.283 0.717  -0.02
Ir2 0.000 0.717 0.283  -0.02
Ir3 0.500 0.217 0.783  -0.02
Ir4 0.500 0.500 0.000  -0.02
Ir5 0.500 0.000 0.500  -0.02
Ir6 0.500 0.783 0.217  -0.02
Si2 0.277 0.920 0.920  0.00
Si3 0.723 0.080 0.080  0.00
Si4 0.384 0.420 0.420  0.00

## Properties
- Space group: Imma (74)

---

#Q is preferred energetically. Next in line: 28 meV/atom higher.

---

#P
Here is a relaxed K2CeP2O8 crystal from Alexandria. Energies are from PBEsol.

a b c (Å): 6.839 6.839 10.105
angles (deg): 109.78 109.78 90.00
Positions (direct):
O1 0.451 0.272 0.544
O2 0.446 0.127 0.255
O3 0.522 0.843 0.044
O4 0.799 0.478 0.956
Ce1 0.750 0.250 0.500
K1 0.125 0.875 0.750
P1 0.325 0.325 0.650
O5 0.873 0.554 0.745
P2 0.925 0.425 0.850
Ce2 0.500 0.500 0.000
K2 0.125 0.875 0.250
K3 0.625 0.875 0.750
O6 0.809 0.127 0.255
O7 0.377 0.559 0.755
O8 0.728 0.549 0.456
O9 0.522 0.201 0.044
P3 0.675 0.675 0.350
O10 0.873 0.191 0.745
O11 0.441 0.623 0.245
O12 0.804 0.623 0.245
O13 0.728 0.907 0.456
K4 0.125 0.375 0.250
O14 0.093 0.272 0.544
P4 0.575 0.075 0.150
O15 0.157 0.478 0.956
O16 0.377 0.196 0.755

## Properties
- Space group: I4_1/amd (141)

---

#Q
Here is a relaxed K2CeP2O8 crystal from Alexandria. Energies are from PBEsol.

a b c (Å): 7.609 9.135 10.884
angles (deg): 90.00 90.00 110.70
Positions (direct):
O1 0.296 0.266 0.520
K1 0.604 0.457 0.872
O2 0.291 0.255 0.755
P1 0.789 0.855 0.860
O3 0.468 0.020 0.645
O4 0.760 0.270 0.250
K2 0.396 0.543 0.128
O5 0.813 0.251 0.022
O6 0.240 0.730 0.750
P2 0.289 0.355 0.640
O7 0.044 0.987 0.144
P3 0.711 0.645 0.360
Ce1 0.476 0.219 0.361
O8 0.260 0.770 0.250
O9 0.740 0.230 0.750
Ce2 0.524 0.781 0.639
K3 0.875 0.542 0.616
Ce3 0.024 0.281 0.861
K4 0.375 0.042 0.884
K5 0.125 0.458 0.384
O10 0.968 0.520 0.855
O11 0.687 0.249 0.522
O12 0.717 0.475 0.104
O13 0.532 0.980 0.355
O14 0.599 0.880 0.851
O15 0.544 0.487 0.356
O16 0.791 0.755 0.745
O17 0.099 0.380 0.649
P4 0.211 0.145 0.140
P5 0.827 0.364 0.131
P6 0.173 0.636 0.869
Ce4 0.976 0.719 0.139
P7 0.673 0.136 0.631
K6 0.104 0.957 0.628
O18 0.217 0.975 0.396
O19 0.901 0.620 0.351
O20 0.313 0.751 0.478
O21 0.783 0.025 0.604
O22 0.796 0.766 0.980
O23 0.283 0.525 0.896
O24 0.209 0.245 0.255
O25 0.456 0.513 0.644
O26 0.204 0.234 0.020
O27 0.704 0.734 0.480
O28 0.187 0.749 0.978
O29 0.709 0.745 0.245
P8 0.327 0.864 0.369
O30 0.956 0.013 0.856
K7 0.625 0.958 0.116
K8 0.896 0.043 0.372
O31 0.032 0.480 0.145
O32 0.401 0.120 0.149

## Properties
- Space group: P2_1/c (14)

---

#Q is preferred energetically. Next in line: 16 meV/atom higher.

---

#P
Here is a relaxed Ce2Mg crystal from Alexandria. Energies are from PBEsol.

a b c (Å): 3.137 5.617 8.330
angles (deg): 90.00 100.85 90.00
Positions (direct):
Mg1 0.785 0.500 0.569
Ce1 0.654 0.000 0.309
Ce2 0.463 0.500 0.926
Ce3 0.311 0.000 0.622
Mg2 0.133 0.500 0.266
Ce4 0.987 0.000 0.975

## Properties
- Space group: Amm2 (38)

---

#Q
Here is a relaxed Ce2Mg crystal from Alexandria. Energies are from PBEsol.

a b c (Å): 5.616 5.616 5.971
angles (deg): 65.24 65.24 66.19
Positions (direct):
Ce1 0.255 0.447 0.774
Mg1 0.099 0.901 0.250
Ce2 0.447 0.255 0.274
Ce3 0.553 0.745 0.726
Ce4 0.745 0.553 0.226
Mg2 0.901 0.099 0.750

## Properties
- Space group: C2/c (15)

---

#Q is preferred energetically. Next in line: 14 meV/atom higher.